## BaHg2 (meta-GGA SCAN)

Data for BaHg2 at its PBEsol-relaxed geometry.

Output
Raw total energy ... -59.203 eV/atom
Symmetry ... No. 71
Theoretical density ... 9.48 Mg/m³
ΔH_f (0 K) ... -1.728 eV/f.u.
DOS(E_F) ... 1.78 states/eV/f.u.

Unit cell a=4.4080 b=6.8221 c=7.4738 alpha=117.16 beta=107.15 gamma=90.00
Fractional positions:
Hg  0.3761  0.8760  0.7523
Ba  0.6661  0.6665  0.3322
Hg  0.6239  0.1240  0.2477
Hg  0.9998  0.7663  0.9996
Ba  0.3339  0.3335  0.6678
Hg  0.0002  0.2337  0.0004